Entry 1:
DFT (GGA-PBE) results for an optimized crystal structure of Y2MgH.

a b c (Å): 6.9934 6.9934 6.2160
angles (deg): 55.77 55.77 90.00
With the nearest neighbours (Å) after each atom.
Sites, in units of the cell vectors:
Y 0.5123 0.1250 0.2500  2 H 2.21
Y 0.2377 0.6250 0.2500  2 H 2.21
Y 0.3750 0.4877 0.7500  2 H 2.21
Y 0.8750 0.7623 0.7500  2 H 2.21
H 0.5000 0.5000 0.0000  4 Y 2.21
H 0.2500 0.7500 0.5000  4 Y 2.21
Mg 0.0000 0.0000 0.0000  8 Y 3.22-3.46
Mg 0.7500 0.2500 0.5000  8 Y 3.22-3.46

Its energy relative to the lowest polymorph listed for this composition is 0.016 eV/atom. Its uncorrected energy is -4.634 eV per atom. The spin magnetization is 0.000 μB/atom. The calculation puts the density of states at the Fermi level at 0.95 states/eV per atom. Its space group is I-42d, No. 122.

Entry 2:
DFT (GGA-PBE) results for an optimized crystal structure of AlCd2Co.

a b c (Å): 7.1358 7.1358 3.9457
angles (deg): 73.94 73.94 22.56
With the nearest neighbours (Å) after each atom.
Sites, in units of the cell vectors:
Co 0.7500 0.7500 0.7500  4 Al 2.42
Al 0.2500 0.2500 0.2500  4 Co 2.42
Cd 0.0754 0.0754 0.9250  2 Co 2.73, 2 Cd 2.79
Cd 0.4246 0.4246 0.5750  2 Co 2.73, 2 Cd 2.79

Its uncorrected energy is -3.239 eV per atom. The spin magnetization is 0.000 μB/atom. The calculation puts the density of states at the Fermi level at 0.50 states/eV per atom. Its space group is Immm, No. 71.

Entry 3:
DFT (GGA-PBE) results for an optimized crystal structure of Pm4Sm2DyTm2.

a b c (Å): 5.0927 8.0584 8.0227
angles (deg): 107.56 90.00 108.42
With the nearest neighbours (Å) after each atom.
Sites, in units of the cell vectors:
Pm 0.7780 0.5560 0.6696  3 Tm 3.57-3.58, 1 Dy 3.58, 3 Sm 3.60-3.63, 5 Pm 3.61-3.63
Pm 0.2220 0.4440 0.3304  3 Tm 3.57-3.58, 1 Dy 3.58, 3 Sm 3.60-3.63, 5 Pm 3.61-3.63
Pm 0.5549 0.1097 0.3304  2 Dy 3.58, 2 Tm 3.58-3.59, 4 Sm 3.60-3.62, 4 Pm 3.61-3.63
Pm 0.4451 0.8903 0.6696  2 Dy 3.58, 2 Tm 3.58-3.59, 4 Sm 3.60-3.62, 4 Pm 3.61-3.63
Sm 0.8885 0.7769 0.3308  3 Tm 3.58, 1 Dy 3.58, 7 Pm 3.60-3.63, 1 Sm 3.62
Sm 0.1115 0.2231 0.6692  3 Tm 3.58, 1 Dy 3.58, 7 Pm 3.60-3.63, 1 Sm 3.62
Dy 0.0000 0.0000 0.0000  6 Pm 3.58, 2 Sm 3.58, 4 Tm 3.61
Tm 0.3328 0.6656 0.0001  5 Pm 3.57-3.59, 3 Sm 3.58, 2 Tm 3.59, 2 Dy 3.61
Tm 0.6672 0.3344 0.9999  5 Pm 3.57-3.59, 3 Sm 3.58, 2 Tm 3.59, 2 Dy 3.61

Its uncorrected energy is -4.644 eV per atom. The spin magnetization is 0.000 μB/atom. The calculation puts the density of states at the Fermi level at 1.55 states/eV per atom. Its space group is C2/m, No. 12.

Entry 4:
DFT (GGA-PBE) results for an optimized crystal structure of Y3Cl.

a b c (Å): 5.7611 6.2657 6.7301
angles (deg): 90.00 90.00 90.00
With the nearest neighbours (Å) after each atom.
Sites, in units of the cell vectors:
Y 0.5000 0.0000 0.3636  2 Cl 3.27, 4 Y 3.63
Y 0.0000 0.5000 0.6364  2 Cl 3.27, 4 Y 3.63
Y 0.0000 0.7516 0.1318  1 Cl 2.85, 2 Y 3.11-3.15
Y 0.0000 0.2484 0.1318  1 Cl 2.85, 2 Y 3.11-3.15
Y 0.5000 0.2516 0.8682  1 Cl 2.85, 2 Y 3.11-3.15
Y 0.5000 0.7484 0.8682  1 Cl 2.85, 2 Y 3.11-3.15
Cl 0.0000 0.0000 0.7772  2 Y 2.85
Cl 0.5000 0.5000 0.2228  2 Y 2.85

The calculation puts the formation energy (no corrections) at -0.129 eV/atom. Its energy relative to the lowest polymorph listed for this composition is 0.530 eV/atom. Its uncorrected energy is -5.439 eV per atom. The spin magnetization is 0.000 μB/atom. The calculation puts the density of states at the Fermi level at 1.29 states/eV per atom. Its space group is Pmmn, No. 59.

Entry 5:
DFT (GGA-PBE) results for an optimized crystal structure of Nd2Co2SiC.

a b c (Å): 5.7595 5.7595 5.7595
angles (deg): 140.04 116.58 77.65
With the nearest neighbours (Å) after each atom.
Sites, in units of the cell vectors:
Nd 0.6915 0.1915 0.5000  2 C 2.61
Nd 0.3085 0.8085 0.5000  2 C 2.61
Co 0.7933 0.5000 0.2933  1 C 1.78
Co 0.2067 0.5000 0.7067  1 C 1.78
Si 0.0000 0.0000 0.0000  4 Co 2.33
C 0.5000 0.5000 0.0000  2 Co 1.78

The calculation puts the formation energy (no corrections) at -0.460 eV/atom. Its uncorrected energy is -6.859 eV per atom. The spin magnetization is 0.000 μB/atom. The calculation puts the density of states at the Fermi level at 0.77 states/eV per atom. Its space group is Immm, No. 71.

Entry 6:
DFT (GGA-PBE) results for an optimized crystal structure of CrAg2P.

a b c (Å): 3.0234 3.0234 6.9686
angles (deg): 90.00 90.00 90.00
With the nearest neighbours (Å) after each atom.
Sites, in units of the cell vectors:
Ag 0.0000 0.0000 0.9850  8 Ag 2.92-3.02, 4 P 2.97, 1 Cr 2.99
Ag 0.5000 0.5000 0.2706  1 P 2.92, 4 Cr 2.92, 8 Ag 2.92-3.02
Cr 0.0000 0.0000 0.5554  4 P 2.33
P 0.5000 0.5000 0.6891  4 Cr 2.33

Its uncorrected energy is -5.084 eV per atom. The spin magnetization is 0.497 μB/atom. The calculation puts the density of states at the Fermi level at 0.56 states/eV per atom. Its space group is P4mm, No. 99.